(1)
Material: CuPS2
Method: DFT, GGA-PBE
State: optimized geometry

Summary:
Magnetic moment = 0.00 μB per formula unit

Cell lengths 5.094, 5.094, 11.966 Å; angles 90.00, 90.00, 90.00 degrees
Space group I-42d (No. 122)
Inequivalent atoms, fractional coordinates:
Cu 0.000 0.000 0.000 x4
P 0.000 0.000 0.500 x4
S 0.249 0.250 0.625 x8

(2)
Material: CaTe2NCl
Method: DFT, GGA-PBE
State: optimized geometry

Summary:
Energy above the lowest structure with this stoichiometry = 180 meV/atom
Magnetic moment = 0.00 μB per formula unit

Cell lengths 5.887, 5.887, 4.387 Å; angles 90.00, 90.00, 90.00 degrees
Space group P4/mmm (No. 123)
Inequivalent atoms, fractional coordinates:
Ca 0.000 0.000 0.000 x1
Te 0.000 0.500 0.000 x2
N 0.000 0.000 0.500 x1
Cl 0.500 0.500 0.500 x1

| no. | formation energy (no corrections) (meV per atom) | calculated volume (Å³/atom) |
| --- | --- | --- |
| 1 | 127 | 19.40 |
| 2 | 833 | 30.40 |